Below is crystalline Mg2CoRe at its relaxed geometry, with properties calculated at the GGA-PBE level.

abc: 2.658 4.423 5.238
angles: 90.00 101.41 90.00
Fractional positions:
Mg 0.199 0.000 0.254
Mg 0.801 0.000 0.746
Co 0.000 0.500 0.500
Re 0.500 0.500 0.000

- polymorph energy (0 for the lowest one) (meV per atom) = 246
- electronic total energy (eV for the cell shown) = -21.38
- formation energy (meV per atom) = 340
- space group = P2/m